An optimized crystal structure of CsSb2HS, computed with PBE.

a = 4.6300 Å, b = 4.6300 Å, c = 6.0817 Å
α = 90.00°, β = 90.00°, γ = 90.00°
Space group P4/mmm (No. 123)
Symmetry-distinct sites (fractional):
1 Cs 0.0000 0.0000 0.0000 x1
2 Sb 0.0000 0.5000 0.5000 x2
3 H 0.5000 0.5000 0.5000 x1
4 S 0.5000 0.5000 0.0000 x1

Summary:
D(E_F) ... 3.92 states/eV/cell
Total magnetic moment ... 0.00 μB/atom
Total DFT energy (no corrections) ... -14.939 eV per formula unit

***

An optimized crystal structure of Rb2MgF, computed with PBE.

a = 8.4491 Å, b = 8.4491 Å, c = 10.2481 Å
α = 90.00°, β = 90.00°, γ = 90.00°
Space group I-42d (No. 122)
Symmetry-distinct sites (fractional):
1 Rb 0.1178 0.7500 0.1250 x8
2 Mg 0.0000 0.0000 0.5000 x4
3 F 0.0000 0.0000 0.0000 x4

Summary:
E above lowest polymorph ... 0 meV per atom
D(E_F) ... 10.53 states/eV/cell
Total magnetic moment ... 0.00 μB/atom
Formation energy (no corrections) ... -1.07 eV/atom

***

An optimized crystal structure of BaCoP2, computed with PBE.

a = 3.2839 Å, b = 3.2839 Å, c = 7.0863 Å
α = 90.00°, β = 90.00°, γ = 90.00°
Space group P4mm (No. 99)
Symmetry-distinct sites (fractional):
1 Ba 0.0000 0.0000 0.0000 x1
2 Co 0.5000 0.5000 0.3872 x1
3 P 0.0000 0.0000 0.4619 x1
4 P 0.5000 0.5000 0.6905 x1

Summary:
E above lowest polymorph ... 634 meV per atom
D(E_F) ... 2.56 states/eV/cell
Total magnetic moment ... 0.00 μB/atom
Energy relative to the elements ... 0.027 eV/atom

***

An optimized crystal structure of ThSiAu, computed with PBE.

a = 4.4481 Å, b = 3.9290 Å, c = 7.6349 Å
α = 90.00°, β = 90.00°, γ = 90.00°
Space group Pmma (No. 51)
Symmetry-distinct sites (fractional):
1 Th 0.2500 0.0000 0.2345 x2
2 Si 0.2500 0.5000 0.9311 x2
3 Au 0.2500 0.5000 0.6055 x2

Summary:
D(E_F) ... 4.54 states/eV/cell
Total magnetic moment ... 0.00 μB/atom
Formation energy (no corrections) ... -0.69 eV/atom

***

An optimized crystal structure of MnAgHg2Au, computed with PBE.

a = 5.1396 Å, b = 5.1396 Å, c = 5.0593 Å
α = 90.00°, β = 90.00°, γ = 90.00°
Space group P4/mmm (No. 123)
Symmetry-distinct sites (fractional):
1 Mn 0.0000 0.0000 0.0000 x1
2 Ag 0.0000 0.0000 0.5000 x1
3 Hg 0.0000 0.5000 0.0000 x2
4 Au 0.5000 0.5000 0.5000 x1

Summary:
D(E_F) ... 3.06 states/eV/cell
Total magnetic moment ... 0.84 μB/atom
Energy relative to the elements ... 0.736 eV/atom

***

An optimized crystal structure of CaAgSe3, computed with PBE.

a = 5.4850 Å, b = 5.4850 Å, c = 5.4850 Å
α = 90.00°, β = 90.00°, γ = 90.00°
Space group Pm-3m (No. 221)
Symmetry-distinct sites (fractional):
1 Ca 0.0000 0.0000 0.0000 x1
2 Ag 0.5000 0.5000 0.5000 x1
3 Se 0.0000 0.0000 0.5000 x3

Summary:
E above lowest polymorph ... 462 meV per atom
D(E_F) ... 4.46 states/eV/cell
Total magnetic moment ... 0.49 μB/atom
Formation energy (no corrections) ... 0.15 eV/atom

***

An optimized crystal structure of SnPd4, computed with PBE.

a = 5.0664 Å, b = 5.0664 Å, c = 7.6383 Å
α = 90.00°, β = 90.00°, γ = 90.00°
Space group I4/mmm (No. 139)
Symmetry-distinct sites (fractional):
1 Sn 0.0000 0.0000 0.0000 x2
2 Pd 0.0000 0.0000 0.3363 x4
3 Pd 0.0000 0.5000 0.2500 x4

Summary:
E above lowest polymorph ... 548 meV per atom
D(E_F) ... 9.02 states/eV/cell
Total magnetic moment ... 0.00 μB/atom
Energy relative to the elements ... 0.191 eV/atom

***

An optimized crystal structure of PmNdUO6, computed with PBE.

a = 5.9570 Å, b = 5.9570 Å, c = 9.4682 Å
α = 90.00°, β = 90.00°, γ = 120.00°
Space group P-31c (No. 163)
Symmetry-distinct sites (fractional):
1 Pm 0.0000 0.0000 0.0000 x2
2 Nd 0.3333 0.6667 0.2500 x2
3 U 0.3333 0.6667 0.7500 x2
4 O 0.0352 0.3630 0.6341 x12

Summary:
D(E_F) ... 0.00 states/eV/cell
Total magnetic moment ... 0.00 μB/atom
Formation energy (no corrections) ... -3.26 eV/atom

***

An optimized crystal structure of ZnTcTe, computed with PBE.

a = 3.2449 Å, b = 5.2623 Å, c = 14.0756 Å
α = 90.00°, β = 90.00°, γ = 90.00°
Space group Fmm2 (No. 42)
Symmetry-distinct sites (fractional):
1 Zn 0.0000 0.0000 0.0000 x4
2 Tc 0.0000 0.0000 0.3573 x4
3 Te 0.0000 0.0000 0.7095 x4

Summary:
E above lowest polymorph ... 372 meV per atom
D(E_F) ... 11.09 states/eV/cell
Total magnetic moment ... 0.00 μB/atom
Formation energy (no corrections) ... 0.52 eV/atom

***

An optimized crystal structure of CaSe5, computed with PBE.

a = 3.9405 Å, b = 3.9405 Å, c = 10.3716 Å
α = 90.00°, β = 90.00°, γ = 90.00°
Space group P4/mmm (No. 123)
Symmetry-distinct sites (fractional):
1 Ca 0.0000 0.0000 0.0000 x1
2 Se 0.0000 0.0000 0.3879 x2
3 Se 0.5000 0.5000 0.1186 x2
4 Se 0.5000 0.5000 0.5000 x1

Summary:
D(E_F) ... 3.57 states/eV/cell
Total magnetic moment ... 0.00 μB/atom
Formation energy (no corrections) ... -0.31 eV/atom

***

An optimized crystal structure of AcGdRh2, computed with PBE.

a = 3.5647 Å, b = 3.5647 Å, c = 7.2548 Å
α = 90.00°, β = 90.00°, γ = 90.00°
Space group P4/mmm (No. 123)
Symmetry-distinct sites (fractional):
1 Ac 0.0000 0.0000 0.0000 x1
2 Gd 0.0000 0.0000 0.5000 x1
3 Rh 0.5000 0.5000 0.2756 x2

Summary:
E above lowest polymorph ... 0 meV per atom
D(E_F) ... 3.33 states/eV/cell
Total magnetic moment ... 1.74 μB/atom
Energy relative to the elements ... -0.629 eV/atom

***

An optimized crystal structure of Er2ThAu4, computed with PBE.

a = 7.1814 Å, b = 9.8717 Å, c = 5.0873 Å
α = 90.00°, β = 90.00°, γ = 90.00°
Space group Cmmm (No. 65)
Symmetry-distinct sites (fractional):
1 Er 0.0000 0.2157 0.0000 x4
2 Th 0.0000 0.5000 0.5000 x2
3 Au 0.2152 0.5000 0.0000 x4
4 Au 0.2500 0.2500 0.5000 x4

Summary:
D(E_F) ... 10.31 states/eV/cell
Total magnetic moment ... 0.00 μB/atom
Energy relative to the elements ... -0.645 eV/atom